# Tc3MoF GGA+U relaxed
data_Tc3MoF
_space_group_name_H-M_alt 'P 1'
_space_group_IT_number 1
_cell_length_a 4.842
_cell_length_b 4.842
_cell_length_c 4.842
_cell_angle_alpha 90.00
_cell_angle_beta 90.00
_cell_angle_gamma 90.00
loop_
_space_group_symop_operation_xyz
'x,y,z'
loop_
_atom_site_label
_atom_site_type_symbol
_atom_site_fract_x
_atom_site_fract_y
_atom_site_fract_z
_atom_site_occupancy
Tc1 Tc 0.500 0.000 0.000 1
F1 F 0.500 0.500 0.500 1
Mo1 Mo 0.000 0.000 0.000 1
Tc2 Tc 0.000 0.000 0.500 1
Tc3 Tc 0.000 0.500 0.000 1
# D(E_F): 1.159 states/eV per atom
# density: 5.98 Mg/m³
# energy: -5.9326 eV per atom
# total magnetic moment: 6.99 μB/f.u.
# SG: No. 221